(1)
CaIr2Pb | Alexandria | SCAN | PBEsol geometry; DFT formation energy = 0.333 eV per atom; crystal system = cubic
1.0
-1.321 3.923 2.254
-4.189 0.184 2.153
-0.230 0.049 4.708
Ir Ca Pb
2 1 1
direct
0.750 0.750 0.750 Ir
0.000 0.000 0.000 Ir
0.500 0.500 0.500 Ca
0.250 0.250 0.250 Pb



(2)
Ca3IrPd | Alexandria | SCAN | PBEsol geometry; DFT formation energy = -0.063 eV per atom; crystal system = cubic
1.0
5.282 0.000 0.000
0.000 5.282 0.000
0.000 0.000 5.282
Ca Ir Pd
3 1 1
direct
0.000 0.000 0.500 Ca
0.500 0.000 0.000 Ca
0.000 0.500 0.000 Ca
0.000 0.000 0.000 Ir
0.500 0.500 0.500 Pd



(3)
CaIrPt2 | Alexandria | SCAN | PBEsol geometry; DFT formation energy = -0.194 eV per atom; crystal system = monoclinic
1.0
-1.445 1.376 1.990
-3.315 -1.679 -3.243
0.329 -3.992 2.999
Ir Pt Ca
1 2 1
direct
0.500 0.000 0.000 Ir
0.760 0.520 0.773 Pt
0.240 0.480 0.227 Pt
0.000 0.000 0.500 Ca